Record 1
SmAl2Au | PBE | relaxed

Values from the calculation:
DOS at the Fermi energy = 0.548 states/eV/atom
E_tot = -4.4351 eV per atom

Unit cell a=4.3348 b=4.3348 c=15.8659 alpha=90.00 beta=90.00 gamma=120.00
Closest atoms and distances in Å follow each position.
Space group R-3m (No. 166, hexagonal axes)
One atom of each set of equivalent atoms:
Sm1 0.0000 0.0000 0.0000 [3 per cell]  8 Al 3.15-3.38
Al1 0.0000 0.0000 0.2127 [6 per cell]  3 Au 2.61, 3 Al 2.90
Au1 0.0000 0.0000 0.5000 [3 per cell]  6 Al 2.61

=====

Record 2
MoAuSe2 | PBE | relaxed

Values from the calculation:
Energy relative to the lowest polymorph listed for this composition = 543.2 meV/atom
DOS at the Fermi energy = 0.531 states/eV/atom
E_form (uncorrected) = 36 kJ per mole of atoms
E_tot = -4.8978 eV per atom

Unit cell a=2.6778 b=4.5236 c=6.3592 alpha=90.00 beta=90.00 gamma=90.00
Closest atoms and distances in Å follow each position.
Space group Pmmm (No. 47)
One atom of each set of equivalent atoms:
Mo1 0.0000 0.0000 0.0000 [1 per cell]  2 Mo 2.68, 4 Se 2.68
Au1 0.0000 0.0000 0.5000 [1 per cell]  2 Au 2.68, 4 Se 2.85
Se1 0.0000 0.5000 0.2273 [2 per cell]  3 Se 2.68-2.89, 2 Mo 2.68, 2 Au 2.85

=====

Record 3
Dy3Zn2Co7 | PBE | relaxed

Values from the calculation:
DOS at the Fermi energy = 1.242 states/eV/atom
E_tot = -5.7216 eV per atom

Unit cell a=5.0528 b=5.0528 c=24.3687 alpha=90.00 beta=90.00 gamma=120.00
Closest atoms and distances in Å follow each position.
Space group R-3m (No. 166, hexagonal axes)
One atom of each set of equivalent atoms:
Dy1 0.0000 0.0000 0.0000 [3 per cell]  6 Zn 2.92, 12 Co 3.25
Dy2 0.0000 0.0000 0.1396 [6 per cell]  12 Co 2.87-3.05, 3 Dy 3.20
Zn1 0.0000 0.0000 0.3335 [6 per cell]  6 Co 2.51
Co1 0.0000 0.0000 0.5000 [3 per cell]  6 Co 2.49
Co2 0.0008 0.5004 0.9161 [18 per cell]  5 Co 2.49-2.53, 2 Zn 2.51

=====

Record 4
Al7ZnAg12 | PBE | relaxed

Values from the calculation:
DOS at the Fermi energy = 0.402 states/eV/atom
E_tot = -3.0936 eV per atom

Unit cell a=11.8632 b=11.8632 c=8.5604 alpha=90.00 beta=90.00 gamma=120.00
Closest atoms and distances in Å follow each position.
Space group R-3 (No. 148, hexagonal axes)
One atom of each set of equivalent atoms:
Al1 0.0000 0.0000 0.0000 [3 per cell]  6 Ag 2.72
Al2 0.0607 0.8140 0.4191 [18 per cell]  7 Ag 2.65-2.90, 1 Zn 2.73, 1 Al 2.74
Zn1 0.0000 0.0000 0.5000 [3 per cell]  6 Al 2.73, 6 Ag 2.97
Ag1 0.0498 0.8481 0.7384 [18 per cell]  4 Al 2.78-2.86, 4 Ag 2.88-2.96, 1 Zn 2.97
Ag2 0.0605 0.8149 0.0802 [18 per cell]  4 Al 2.65-2.90, 6 Ag 2.88-2.97

=====

Record 5
KIr4Rh | PBE | relaxed

Values from the calculation:
DOS at the Fermi energy = 1.934 states/eV/atom
E_tot = -6.5599 eV per atom

Unit cell a=7.4876 b=7.4876 c=7.4876 alpha=90.00 beta=90.00 gamma=90.00
Closest atoms and distances in Å follow each position.
Space group F-43m (No. 216)
One atom of each set of equivalent atoms:
K1 0.0000 0.0000 0.0000 [4 per cell]  12 Ir 3.10, 4 Rh 3.24
Ir1 0.1247 0.1247 0.3753 [16 per cell]  6 Ir 2.64-2.65
Rh1 0.2500 0.2500 0.7500 [4 per cell]  12 Ir 3.10, 4 K 3.24

=====

Record 6
Tl6In3Pb2 | PBE | relaxed

Values from the calculation:
DOS at the Fermi energy = 0.493 states/eV/atom
E_tot = -2.6119 eV per atom

Unit cell a=9.2773 b=10.1825 c=8.3281 alpha=90.00 beta=111.63 gamma=90.00
Closest atoms and distances in Å follow each position.
Space group C2/m (No. 12)
One atom of each set of equivalent atoms:
Tl1 0.1757 0.2410 0.1976 [8 per cell]  2 In 3.20-3.22, 3 Pb 3.46-3.53, 1 Tl 3.47
Tl2 0.1835 0.0000 0.5155 [4 per cell]  2 In 3.20-3.48, 3 Tl 3.32-3.47, 2 Pb 3.38-3.48
In1 0.0000 0.5000 0.0000 [2 per cell]  2 In 2.95, 4 Tl 3.22
In2 0.0870 0.5000 0.6929 [4 per cell]  2 In 2.95-3.02, 3 Tl 3.20
Pb1 0.1158 0.0000 0.8872 [4 per cell]  2 In 3.33-3.57, 1 Pb 3.33, 8 Tl 3.38-3.53

=====

Record 7
LiCeAu3 | PBE | relaxed

Values from the calculation:
Energy relative to the lowest polymorph listed for this composition = 101.4 meV/atom
DOS at the Fermi energy = 1.608 states/eV/atom
E_tot = -3.9802 eV per atom

Unit cell a=22.1056 b=4.2731 c=4.5263 alpha=90.00 beta=101.80 gamma=90.00
Closest atoms and distances in Å follow each position.
Space group C2/m (No. 12)
One atom of each set of equivalent atoms:
Li1 0.1486 0.0000 0.3994 [4 per cell]  5 Au 2.43-2.53
Ce1 0.0911 0.5000 0.8417 [4 per cell]  10 Au 3.19-3.47, 4 Li 3.35
Au1 0.0353 0.0000 0.2853 [4 per cell]  1 Li 2.45, 2 Au 2.73
Au2 0.2007 0.0000 0.9513 [4 per cell]  2 Li 2.53
Au3 0.2026 0.5000 0.4531 [4 per cell]  2 Li 2.43